{
  "formula": "SiPOs",
  "functional": "GGA-PBE",
  "state": "optimized geometry",
  "magnetic_moment_mub_per_cell": 0.0,
  "dos_ef_per_ev_cell": 1.7,
  "formation_energy_uncorrected_ev_per_atom": 0.233,
  "lattice_angstrom": [[4.0965, 0.0000, 0.0000], [-2.0482, 3.5476, 0.0000], [0.0000, 0.0000, 2.8816]],
  "species": ["Si", "P", "Os"],
  "frac_coords": [[0.0000, 0.0000, 0.0000], [0.3333, 0.6667, 0.5000], [0.6667, 0.3333, 0.5000]]
}

{
  "formula": "CeCo4",
  "functional": "GGA-PBE",
  "state": "optimized geometry",
  "polymorph_energy_kj_per_mol_atoms": 0.0,
  "formation_energy_ev_per_atom": -0.022,
  "magnetic_moment_mub_per_cell": 14.0,
  "dos_ef_per_ev_cell": 20.6,
  "lattice_angstrom": [[-4.1508, 4.1508, 4.1508], [4.1508, -4.1508, 4.1508], [4.1508, 4.1508, -4.1508]],
  "species": ["Ce", "Ce", "Ce", "Ce", "Co", "Co", "Co", "Co", "Co", "Co", "Co", "Co", "Co", "Co", "Co", "Co", "Co", "Co", "Co", "Co"],
  "frac_coords": [[0.0000, 0.0000, 0.4691], [0.0000, 0.4691, 0.0000], [0.4691, 0.0000, 0.0000], [0.5309, 0.5309, 0.5309], [0.0000, 0.0000, 0.8000], [0.0000, 0.3513, 0.3513], [0.0000, 0.6487, 0.6487], [0.0000, 0.8000, 0.0000], [0.2000, 0.2000, 0.2000], [0.2500, 0.5000, 0.7500], [0.2500, 0.7500, 0.5000], [0.3513, 0.0000, 0.3513], [0.3513, 0.3513, 0.0000], [0.5000, 0.2500, 0.7500], [0.5000, 0.7500, 0.2500], [0.6487, 0.0000, 0.6487], [0.6487, 0.6487, 0.0000], [0.7500, 0.2500, 0.5000], [0.7500, 0.5000, 0.2500], [0.8000, 0.0000, 0.0000]]
}

{
  "formula": "SrCuSb2",
  "functional": "GGA-PBE",
  "state": "optimized geometry",
  "magnetic_moment_mub_per_cell": 0.0,
  "dos_ef_per_ev_cell": 10.0,
  "formation_energy_uncorrected_ev_per_atom": -0.042,
  "lattice_angstrom": [[7.4970, 0.0000, 0.0000], [0.0000, 7.4970, 0.0000], [0.0000, 0.0000, 7.4970]],
  "species": ["Sr", "Sr", "Sr", "Sr", "Cu", "Cu", "Cu", "Cu", "Sb", "Sb", "Sb", "Sb", "Sb", "Sb", "Sb", "Sb"],
  "frac_coords": [[0.0000, 0.0000, 0.0000], [0.0000, 0.5000, 0.5000], [0.5000, 0.0000, 0.5000], [0.5000, 0.5000, 0.0000], [0.0000, 0.0000, 0.5000], [0.0000, 0.5000, 0.0000], [0.5000, 0.0000, 0.0000], [0.5000, 0.5000, 0.5000], [0.2500, 0.2500, 0.2500], [0.2500, 0.2500, 0.7500], [0.2500, 0.7500, 0.2500], [0.2500, 0.7500, 0.7500], [0.7500, 0.2500, 0.2500], [0.7500, 0.2500, 0.7500], [0.7500, 0.7500, 0.2500], [0.7500, 0.7500, 0.7500]]
}

{
  "formula": "AlP2W",
  "functional": "GGA-PBE",
  "state": "optimized geometry",
  "formation_energy_ev_per_atom": 0.027,
  "magnetic_moment_mub_per_cell": 0.0,
  "dos_ef_per_ev_cell": 1.5,
  "lattice_angstrom": [[3.1690, 0.0000, 0.0000], [0.0000, 4.2387, 0.0000], [0.0000, 0.0000, 4.6372]],
  "species": ["Al", "P", "P", "W"],
  "frac_coords": [[0.0000, 0.0000, 0.0000], [0.5000, 0.5000, 0.2318], [0.5000, 0.5000, 0.7682], [0.5000, 0.0000, 0.5000]]
}

{
  "formula": "TaSnP2Cl",
  "functional": "GGA-PBE",
  "state": "optimized geometry",
  "polymorph_energy_kj_per_mol_atoms": 122.2,
  "magnetic_moment_mub_per_cell": 2.0,
  "dos_ef_per_ev_cell": 4.9,
  "formation_energy_uncorrected_ev_per_atom": 1.262,
  "lattice_angstrom": [[4.9891, 0.0000, 0.0000], [0.0000, 4.9891, 0.0000], [0.0000, 0.0000, 4.8377]],
  "species": ["Ta", "Sn", "P", "P", "Cl"],
  "frac_coords": [[0.0000, 0.0000, 0.0000], [0.5000, 0.5000, 0.5000], [0.0000, 0.5000, 0.5000], [0.5000, 0.0000, 0.5000], [0.5000, 0.5000, 0.0000]]
}

{
  "formula": "Tl3GeW",
  "functional": "GGA-PBE",
  "state": "optimized geometry",
  "polymorph_energy_kj_per_mol_atoms": 39.4,
  "formation_energy_ev_per_atom": 1.507,
  "magnetic_moment_mub_per_cell": 4.4,
  "dos_ef_per_ev_cell": 3.0,
  "lattice_angstrom": [[5.4475, 0.0000, 0.0000], [0.0000, 5.4475, 0.0000], [0.0000, 0.0000, 5.4475]],
  "species": ["Tl", "Tl", "Tl", "Ge", "W"],
  "frac_coords": [[0.0000, 0.0000, 0.5000], [0.0000, 0.5000, 0.0000], [0.5000, 0.0000, 0.0000], [0.0000, 0.0000, 0.0000], [0.5000, 0.5000, 0.5000]]
}

{
  "formula": "Cs2IrF6",
  "functional": "GGA-PBE",
  "state": "optimized geometry",
  "magnetic_moment_mub_per_cell": 1.0,
  "dos_ef_per_ev_cell": 10.5,
  "formation_energy_uncorrected_ev_per_atom": -2.211,
  "lattice_angstrom": [[6.3331, 0.0000, 0.0000], [-3.1665, 5.4846, 0.0000], [0.0000, 0.0000, 5.1608]],
  "species": ["Cs", "Cs", "Ir", "F", "F", "F", "F", "F", "F"],
  "frac_coords": [[0.3333, 0.6667, 0.2926], [0.6667, 0.3333, 0.7074], [0.0000, 0.0000, 0.0000], [0.1505, 0.3010, 0.7891], [0.1505, 0.8495, 0.7891], [0.3010, 0.1505, 0.2109], [0.6990, 0.8495, 0.7891], [0.8495, 0.1505, 0.2109], [0.8495, 0.6990, 0.2109]]
}

{
  "formula": "La2YTi",
  "functional": "GGA-PBE",
  "state": "optimized geometry",
  "polymorph_energy_kj_per_mol_atoms": 23.8,
  "formation_energy_ev_per_atom": 0.449,
  "magnetic_moment_mub_per_cell": 0.2,
  "dos_ef_per_ev_cell": 22.3,
  "lattice_angstrom": [[3.3828, 0.0000, 0.0000], [-1.6914, 2.9296, 0.0000], [0.0000, 0.0000, 35.8608]],
  "species": ["La", "La", "La", "La", "La", "La", "Y", "Y", "Y", "Ti", "Ti", "Ti"],
  "frac_coords": [[0.0000, 0.0000, 0.0793], [0.0000, 0.0000, 0.9207], [0.3333, 0.6667, 0.5874], [0.3333, 0.6667, 0.7459], [0.6667, 0.3333, 0.2541], [0.6667, 0.3333, 0.4126], [0.0000, 0.0000, 0.5000], [0.3333, 0.6667, 0.1667], [0.6667, 0.3333, 0.8333], [0.0000, 0.0000, 0.0000], [0.3333, 0.6667, 0.6667], [0.6667, 0.3333, 0.3333]]
}

{
  "formula": "TaCu5S5",
  "functional": "GGA-PBE",
  "state": "optimized geometry",
  "magnetic_moment_mub_per_cell": 0.0,
  "dos_ef_per_ev_cell": 2.2,
  "formation_energy_uncorrected_ev_per_atom": -0.231,
  "lattice_angstrom": [[6.2700, -2.3262, 0.0000], [6.2700, 2.3262, 0.0000], [-6.1967, 0.0000, 6.3856]],
  "species": ["Ta", "Cu", "Cu", "Cu", "Cu", "Cu", "S", "S", "S", "S", "S"],
  "frac_coords": [[0.0000, 0.0000, 0.0000], [0.0000, 0.0000, 0.5000], [0.2807, 0.2807, 0.6400], [0.3112, 0.3112, 0.1461], [0.6888, 0.6888, 0.8539], [0.7193, 0.7193, 0.3600], [0.0842, 0.0842, 0.8130], [0.2690, 0.2690, 0.3577], [0.5000, 0.5000, 0.0000], [0.7310, 0.7310, 0.6423], [0.9158, 0.9158, 0.1870]]
}

{
  "formula": "Sm4Y10Ho",
  "functional": "GGA-PBE",
  "state": "optimized geometry",
  "formation_energy_ev_per_atom": 0.748,
  "magnetic_moment_mub_per_cell": 0.0,
  "dos_ef_per_ev_cell": 22.4,
  "lattice_angstrom": [[-6.1187, 6.1187, 3.8694], [6.1187, -6.1187, 3.8694], [6.1187, 6.1187, -3.8694]],
  "species": ["Sm", "Sm", "Sm", "Sm", "Y", "Y", "Y", "Y", "Y", "Y", "Y", "Y", "Y", "Y", "Ho"],
  "frac_coords": [[0.1007, 0.2991, 0.3998], [0.2991, 0.8993, 0.1984], [0.7009, 0.1007, 0.8016], [0.8993, 0.7009, 0.6002], [0.0519, 0.1522, 0.7016], [0.1522, 0.4506, 0.1003], [0.2500, 0.7500, 0.5000], [0.3503, 0.0519, 0.8997], [0.4506, 0.3503, 0.2984], [0.5494, 0.6497, 0.7016], [0.6497, 0.9481, 0.1003], [0.7500, 0.2500, 0.5000], [0.8478, 0.5494, 0.8997], [0.9481, 0.8478, 0.2984], [0.5000, 0.5000, 0.0000]]
}

{
  "formula": "Sr2Si7Pd12",
  "functional": "GGA-PBE",
  "state": "optimized geometry",
  "magnetic_moment_mub_per_cell": 0.0,
  "dos_ef_per_ev_cell": 7.8,
  "formation_energy_uncorrected_ev_per_atom": -0.723,
  "lattice_angstrom": [[10.1221, 0.0000, 0.0000], [-5.0610, 8.7660, 0.0000], [0.0000, 0.0000, 3.8721]],
  "species": ["Sr", "Sr", "Si", "Si", "Si", "Si", "Si", "Si", "Si", "Pd", "Pd", "Pd", "Pd", "Pd", "Pd", "Pd", "Pd", "Pd", "Pd", "Pd", "Pd"],
  "frac_coords": [[0.0000, 0.0000, 0.0000], [0.3333, 0.6667, 0.5000], [0.0676, 0.4466, 0.0000], [0.2673, 0.2254, 0.5000], [0.3790, 0.9324, 0.0000], [0.5534, 0.6210, 0.0000], [0.6667, 0.3333, 0.0000], [0.7746, 0.0419, 0.5000], [0.9581, 0.7327, 0.5000], [0.0494, 0.2798, 0.5000], [0.1040, 0.7088, 0.0000], [0.2304, 0.9506, 0.5000], [0.2912, 0.3952, 0.0000], [0.3969, 0.1821, 0.0000], [0.5369, 0.4326, 0.5000], [0.5674, 0.1044, 0.5000], [0.6048, 0.8960, 0.0000], [0.7202, 0.7696, 0.5000], [0.7852, 0.6031, 0.0000], [0.8179, 0.2148, 0.0000], [0.8956, 0.4631, 0.5000]]
}

{
  "formula": "Ba2Mg3Tl6",
  "functional": "GGA-PBE",
  "state": "optimized geometry",
  "formation_energy_ev_per_atom": -0.139,
  "magnetic_moment_mub_per_cell": 0.0,
  "dos_ef_per_ev_cell": 6.8,
  "lattice_angstrom": [[5.8943, -6.8773, 0.0000], [5.8943, 6.8773, 0.0000], [0.0000, 0.0000, 4.4749]],
  "species": ["Ba", "Ba", "Mg", "Mg", "Mg", "Tl", "Tl", "Tl", "Tl", "Tl", "Tl"],
  "frac_coords": [[0.1972, 0.8028, 0.0000], [0.8028, 0.1972, 0.0000], [0.3022, 0.3022, 0.0000], [0.5000, 0.5000, 0.5000], [0.6978, 0.6978, 0.0000], [0.1260, 0.1260, 0.5000], [0.1624, 0.4754, 0.5000], [0.4754, 0.1624, 0.5000], [0.5246, 0.8376, 0.5000], [0.8376, 0.5246, 0.5000], [0.8740, 0.8740, 0.5000]]
}